[1]
Compound: Tb2Dy8Hg
Source: the Alexandria database
Functional: PBE
Structure: optimized geometry

It has space group C2/m (No. 12), with a = 19.258 Å, b = 5.542 Å, c = 6.382 Å, α = 90.00°, β = 95.15° and γ = 90.00°. The inequivalent atoms are Tb at (0.243, 0.000, 0.332), Dy at (0.043, 0.000, 0.265), Dy at (0.078, 0.500, 0.602), Dy at (0.155, 0.000, 0.801), Dy at (0.159, 0.500, 0.123) and Hg at (0.000, 0.500, 0.000).

For the formation energy, the calculation gives -0.05 eV per atom. The total energy is -93.83 eV for the cell shown. Its theoretical density is 8.90 g cm⁻³. The total magnetization comes out at 0.00 μB per cell. The value obtained for the energy relative to the lowest polymorph listed for this composition is 0 meV per atom.

=====

[2]
Compound: RbHfSn3
Source: the Alexandria database
Functional: PBE
Structure: optimized geometry

It has space group Pm-3m (No. 221), with a = 5.614 Å, b = 5.614 Å, c = 5.614 Å, α = 90.00°, β = 90.00° and γ = 90.00°. The inequivalent atoms are Rb at (0.000, 0.000, 0.000), Hf at (0.500, 0.500, 0.500) and Sn at (0.000, 0.500, 0.500).

For the formation energy, the calculation gives -0.04 eV per atom. The total energy is -23.14 eV for the cell shown. Its theoretical density is 5.82 g cm⁻³. The total magnetization comes out at 0.00 μB per cell. The value obtained for the energy relative to the lowest polymorph listed for this composition is 0 meV per atom.

=====

[3]
Compound: Pr2Nd3TmTe6
Source: the Alexandria database
Functional: PBE
Structure: optimized geometry

It has space group C2/m (No. 12), with a = 19.540 Å, b = 4.440 Å, c = 9.015 Å, α = 90.00°, β = 102.72° and γ = 90.00°. The inequivalent atoms are Pr at (0.171, 0.000, 0.337), Nd at (0.000, 0.500, 0.500), Nd at (0.175, 0.000, 0.836), Tm at (0.000, 0.500, 0.000), Te at (0.002, 0.000, 0.763), Te at (0.158, 0.500, 0.077) and Te at (0.164, 0.500, 0.584).

The total energy is -127.70 eV for the cell shown. Its theoretical density is 7.18 g cm⁻³. The total magnetization comes out at 0.00 μB per cell. The value obtained for the raw formation energy is -1.389 eV per atom.

=====

[4]
Compound: YPu2Th
Source: the Alexandria database
Functional: PBE
Structure: optimized geometry

It has space group Cm (No. 8), with a = 6.029 Å, b = 3.484 Å, c = 11.570 Å, α = 90.00°, β = 99.88° and γ = 90.00°. The inequivalent atoms are Y at (0.000, 0.000, 0.000), Pu at (0.085, 0.500, 0.748), Pu at (0.419, 0.000, 0.253) and Th at (0.166, 0.000, 0.500).

For the formation energy, the calculation gives 0.20 eV per atom. The total energy is -83.46 eV for the cell shown. Its theoretical density is 11.22 g cm⁻³. The total magnetization comes out at 24.17 μB per cell. The value obtained for the energy relative to the lowest polymorph listed for this composition is 27 meV per atom.

=====

[5]
Compound: Pr6C2NF3
Source: the Alexandria database
Functional: PBE
Structure: optimized geometry

It has space group C2/m (No. 12), with a = 6.398 Å, b = 11.103 Å, c = 6.692 Å, α = 90.00°, β = 108.53° and γ = 90.00°. The inequivalent atoms are Pr at (0.238, 0.165, 0.220), Pr at (0.242, 0.500, 0.220), C at (0.000, 0.334, 0.000), N at (0.000, 0.000, 0.000), F at (0.000, 0.180, 0.500) and F at (0.000, 0.500, 0.500).

The total energy is -161.20 eV for the cell shown. Its theoretical density is 6.93 g cm⁻³. The total magnetization comes out at 0.00 μB per cell. The value obtained for the raw formation energy is -1.628 eV per atom.

=====

[6]
Compound: Sc2TiWAu
Source: the Alexandria database
Functional: PBE
Structure: optimized geometry

It has space group P4/mmm (No. 123), with a = 4.696 Å, b = 4.696 Å, c = 4.765 Å, α = 90.00°, β = 90.00° and γ = 90.00°. The inequivalent atoms are Sc at (0.000, 0.500, 0.000), Ti at (0.000, 0.000, 0.000), W at (0.500, 0.500, 0.500) and Au at (0.000, 0.000, 0.500).

For the formation energy, the calculation gives 1.27 eV per atom. The total energy is -30.42 eV for the cell shown. Its theoretical density is 8.20 g cm⁻³. The total magnetization comes out at 0.00 μB per cell.

=====

[7]
Compound: YIrPbO6
Source: the Alexandria database
Functional: PBE
Structure: optimized geometry

It has space group P-31c (No. 163), with a = 5.6041 Å, b = 5.6041 Å, c = 9.5420 Å, α = 90.00°, β = 90.00° and γ = 120.00°. The inequivalent atoms are Y at (0.3333, 0.6667, 0.2500), Ir at (0.3333, 0.6667, 0.7500), Pb at (0.0000, 0.0000, 0.0000) and O at (0.0410, 0.3846, 0.6346).

The total energy is -123.98 eV for the cell shown. Its theoretical density is 7.48 g cm⁻³. The total magnetization comes out at 2.57 μB per cell. The value obtained for the raw formation energy is -1.468 eV per atom.

=====

[8]
Compound: Li3DyNp2S6
Source: the Alexandria database
Functional: PBE
Structure: optimized geometry

It has space group C2/m (No. 12), with a = 6.799 Å, b = 11.774 Å, c = 6.558 Å, α = 90.00°, β = 110.23° and γ = 90.00°. The inequivalent atoms are Li at (0.000, 0.000, 0.000), Li at (0.000, 0.334, 0.000), Dy at (0.000, 0.500, 0.500), Np at (0.000, 0.167, 0.500), S at (0.249, 0.167, 0.248) and S at (0.249, 0.500, 0.247).

The total energy is -158.25 eV for the cell shown. Its theoretical density is 5.73 g cm⁻³. The total magnetization comes out at 16.00 μB per cell. The value obtained for the raw formation energy is -1.511 eV per atom.

=====

[9]
Compound: Al2CuSi
Source: the Alexandria database
Functional: PBE
Structure: optimized geometry

It has space group Pna2_1 (No. 33), with a = 6.929 Å, b = 8.347 Å, c = 4.921 Å, α = 90.00°, β = 90.00° and γ = 90.00°. The inequivalent atoms are Al at (0.065, 0.109, 0.000), Al at (0.067, 0.605, 0.248), Cu at (0.107, 0.661, 0.742) and Si at (0.100, 0.159, 0.502).

The total energy is -67.13 eV for the cell shown. Its theoretical density is 3.40 g cm⁻³. The total magnetization comes out at 0.00 μB per cell. The value obtained for the raw formation energy is 0.055 eV per atom.

=====

[10]
Compound: Pa3Mn4AgN12
Source: the Alexandria database
Functional: PBE
Structure: optimized geometry

It has space group R32 (No. 155, hexagonal axes), with a = 11.2519 Å, b = 11.2519 Å, c = 8.5402 Å, α = 90.00°, β = 90.00° and γ = 120.00°. The inequivalent atoms are Pa at (0.0000, 0.5475, 0.0000), Mn at (0.0000, 0.0000, 0.5000), Mn at (0.0000, 0.4530, 0.5000), Ag at (0.0000, 0.0000, 0.0000), N at (0.0000, 0.6094, 0.5000), N at (0.0000, 0.8448, 0.5000) and N at (0.0278, 0.2106, 0.1793).

The total energy is -518.80 eV for the cell shown. Its theoretical density is 6.32 g cm⁻³. The total magnetization comes out at 23.68 μB per cell. The value obtained for the raw formation energy is -0.251 eV per atom.

=====

[11]
Compound: Si2TcAg
Source: the Alexandria database
Functional: PBE
Structure: optimized geometry

It has space group R3m (No. 160, hexagonal axes), with a = 2.9395 Å, b = 2.9395 Å, c = 24.3966 Å, α = 90.00°, β = 90.00° and γ = 120.00°. The inequivalent atoms are Si at (0.0000, 0.0000, 0.0000), Si at (0.0000, 0.0000, 0.2561), Tc at (0.0000, 0.0000, 0.5172) and Ag at (0.0000, 0.0000, 0.7522).

The total energy is -69.14 eV for the cell shown. Its theoretical density is 7.15 g cm⁻³. The total magnetization comes out at 0.00 μB per cell. The value obtained for the raw formation energy is 0.254 eV per atom. The value obtained for the energy relative to the lowest polymorph listed for this composition is 312 meV per atom.

=====

[12]
Compound: K2Sb
Source: the Alexandria database
Functional: PBE
Structure: optimized geometry

It has space group P-3m1 (No. 164), with a = 5.7902 Å, b = 5.7902 Å, c = 3.5675 Å, α = 90.00°, β = 90.00° and γ = 120.00°. The inequivalent atoms are K at (0.3333, 0.6667, 0.0097) and Sb at (0.0000, 0.0000, 0.5000).

The total energy is -7.32 eV for the cell shown. Its theoretical density is 3.21 g cm⁻³. The total magnetization comes out at 0.00 μB per cell. The value obtained for the raw formation energy is -0.333 eV per atom. The value obtained for the energy relative to the lowest polymorph listed for this composition is 73 meV per atom.

=====

[13]
Compound: Y4HgAu2
Source: the Alexandria database
Functional: PBE
Structure: optimized geometry

It has space group R-3m (No. 166, hexagonal axes), with a = 5.0961 Å, b = 5.0961 Å, c = 24.8509 Å, α = 90.00°, β = 90.00° and γ = 120.00°. The inequivalent atoms are Y at (0.0000, 0.0000, 0.1203), Y at (0.0000, 0.0000, 0.3720), Hg at (0.0000, 0.0000, 0.5000) and Au at (0.0000, 0.0000, 0.2518).

For the formation energy, the calculation gives -0.58 eV per atom. The total energy is -110.23 eV for the cell shown. Its theoretical density is 8.47 g cm⁻³. The total magnetization comes out at 0.00 μB per cell. The value obtained for the energy relative to the lowest polymorph listed for this composition is 0 meV per atom.

=====

[14]
Compound: Tb3CeEr8
Source: the Alexandria database
Functional: PBE
Structure: optimized geometry

It has space group I4/mmm (No. 139), with a = 7.601 Å, b = 7.601 Å, c = 15.260 Å, α = 90.00°, β = 90.00° and γ = 90.00°. The inequivalent atoms are Tb at (0.000, 0.000, 0.000), Tb at (0.000, 0.500, 0.250), Ce at (0.000, 0.000, 0.500) and Er at (0.248, 0.248, 0.376).

For the formation energy, the calculation gives 0.77 eV per atom. The total energy is -94.06 eV for the cell shown. Its theoretical density is 7.36 g cm⁻³. The total magnetization comes out at 3.44 μB per cell.

=====

[15]
Compound: Sr2CaLaOs
Source: the Alexandria database
Functional: PBE
Structure: optimized geometry

It has space group P4/mmm (No. 123), with a = 6.138 Å, b = 6.138 Å, c = 5.318 Å, α = 90.00°, β = 90.00° and γ = 90.00°. The inequivalent atoms are Sr at (0.000, 0.500, 0.000), Ca at (0.000, 0.000, 0.500), La at (0.500, 0.500, 0.500) and Os at (0.500, 0.500, 0.000).

For the formation energy, the calculation gives 0.16 eV per atom. The total energy is -20.70 eV for the cell shown. Its theoretical density is 4.51 g cm⁻³. The total magnetization comes out at 0.00 μB per cell.

=====

[16]
Compound: CsNaTlCd
Source: the Alexandria database
Functional: PBE
Structure: optimized geometry

It has space group Cm (No. 8), with a = 9.199 Å, b = 5.319 Å, c = 7.701 Å, α = 90.00°, β = 113.43° and γ = 90.00°. The inequivalent atoms are Cs at (0.000, 0.000, 0.000), Na at (0.188, 0.000, 0.562), Tl at (0.298, 0.500, 0.392) and Cd at (0.473, 0.000, 0.416).

For the formation energy, the calculation gives -0.08 eV per atom. The total energy is -11.53 eV for the cell shown. Its theoretical density is 4.54 g cm⁻³. The total magnetization comes out at 0.00 μB per cell. The value obtained for the energy relative to the lowest polymorph listed for this composition is 0 meV per atom.

=====

[17]
Compound: Ac4LaTb4
Source: the Alexandria database
Functional: PBE
Structure: optimized geometry

It has space group I4/mmm (No. 139), with a = 11.362 Å, b = 11.362 Å, c = 5.328 Å, α = 90.00°, β = 90.00° and γ = 90.00°. The inequivalent atoms are Ac at (0.167, 0.167, 0.000), La at (0.000, 0.000, 0.500) and Tb at (0.000, 0.342, 0.500).

For the formation energy, the calculation gives 0.06 eV per atom. The total energy is -78.76 eV for the cell shown. Its theoretical density is 8.12 g cm⁻³. The total magnetization comes out at 0.00 μB per cell.

=====

[18]
Compound: Pd3PtAu
Source: the Alexandria database
Functional: PBE
Structure: optimized geometry

It has space group Pm-3m (No. 221), with a = 4.864 Å, b = 4.864 Å, c = 4.864 Å, α = 90.00°, β = 90.00° and γ = 90.00°. The inequivalent atoms are Pd at (0.000, 0.000, 0.500), Pt at (0.000, 0.000, 0.000) and Au at (0.500, 0.500, 0.500).

For the formation energy, the calculation gives 1.06 eV per atom. The total energy is -19.60 eV for the cell shown. Its theoretical density is 10.27 g cm⁻³. The total magnetization comes out at 0.00 μB per cell. The value obtained for the energy relative to the lowest polymorph listed for this composition is 1077 meV per atom.

=====

[19]
Compound: Ba2TaTe
Source: the Alexandria database
Functional: PBE
Structure: optimized geometry

It has space group F-43m (No. 216), with a = 8.166 Å, b = 8.166 Å, c = 8.166 Å, α = 90.00°, β = 90.00° and γ = 90.00°. The inequivalent atoms are Ba at (0.000, 0.000, 0.000), Ba at (0.250, 0.250, 0.250), Ta at (0.250, 0.250, 0.750) and Te at (0.000, 0.000, 0.500).

The total energy is -67.16 eV for the cell shown. Its theoretical density is 7.11 g cm⁻³. The total magnetization comes out at 18.42 μB per cell. The value obtained for the raw formation energy is 0.513 eV per atom.

=====

[20]
Compound: AlPd2
Source: the Alexandria database
Functional: PBE
Structure: optimized geometry

It has space group C2/m (No. 12), with a = 7.109 Å, b = 4.122 Å, c = 4.125 Å, α = 90.00°, β = 125.05° and γ = 90.00°. The inequivalent atoms are Al at (0.000, 0.000, 0.000) and Pd at (0.250, 0.000, 0.749).

For the formation energy, the calculation gives -0.68 eV per atom. The total energy is -32.33 eV for the cell shown. Its theoretical density is 8.05 g cm⁻³. The total magnetization comes out at 0.00 μB per cell.